Material: Nb3Br8
Method: DFT, PBE
State: optimized geometry Values from VASP.

Computed properties:
- volume (Å³ per cell) = 577.3
- DFT total energy (hartree per atom) = -0.17860

The structure in Quantum ESPRESSO input format:
```
&SYSTEM
  ibrav = 0, nat = 22, ntyp = 2
/
ATOMIC_SPECIES
Nb 92.91 Nb.upf
Br 79.90 Br.upf
CELL_PARAMETERS angstrom
3.561 2.056 13.146
-3.561 2.056 13.146
0.000 -4.111 13.146
ATOMIC_POSITIONS crystal
Nb 0.146 0.550 0.550
Nb 0.450 0.450 0.854
Nb 0.450 0.854 0.450
Nb 0.550 0.146 0.550
Nb 0.550 0.550 0.146
Nb 0.854 0.450 0.450
Br 0.118 0.118 0.626
Br 0.118 0.626 0.118
Br 0.208 0.706 0.706
Br 0.215 0.215 0.215
Br 0.294 0.294 0.792
Br 0.294 0.792 0.294
Br 0.365 0.365 0.365
Br 0.374 0.882 0.882
Br 0.626 0.118 0.118
Br 0.635 0.635 0.635
Br 0.706 0.208 0.706
Br 0.706 0.706 0.208
Br 0.785 0.785 0.785
Br 0.792 0.294 0.294
Br 0.882 0.374 0.882
Br 0.882 0.882 0.374
```

---

Material: NbBr5
Method: DFT, PBE
State: optimized geometry Values from VASP.

Computed properties:
- volume (Å³ per cell) = 467.5
- distance to the lowest polymorph of the same formula (meV/atom) = 0

The structure in Quantum ESPRESSO input format:
```
&SYSTEM
  ibrav = 0, nat = 12, ntyp = 2
/
ATOMIC_SPECIES
Nb 92.91 Nb.upf
Br 79.90 Br.upf
CELL_PARAMETERS angstrom
7.940 0.000 0.000
-3.970 6.876 0.000
0.000 0.000 8.563
ATOMIC_POSITIONS crystal
Nb 0.333 0.667 0.250
Nb 0.667 0.333 0.750
Br 0.156 0.312 0.250
Br 0.156 0.844 0.250
Br 0.312 0.156 0.750
Br 0.333 0.667 0.542
Br 0.333 0.667 0.958
Br 0.667 0.333 0.042
Br 0.667 0.333 0.458
Br 0.688 0.844 0.250
Br 0.844 0.156 0.750
Br 0.844 0.688 0.750
```